No. 1
Nb3PdF after structural relaxation, computed with PBE.

```
Nb3PdF
1.0
4.898 0.000 0.000
0.000 4.898 0.000
0.000 0.000 4.898
Nb Pd F
3 1 1
Cartesian
0.000 0.000 2.449
0.000 2.449 0.000
2.449 0.000 0.000
0.000 0.000 0.000
2.449 2.449 2.449
```

Symmetry: Pm-3m (221)
Distance to the lowest polymorph of the same formula in meV/atom: 1327
M_tot in μB/f.u.: 0.00
Formation energy without anion corrections in kcal/mol of atoms: 29.42

No. 2
BeAsOs2 after structural relaxation, computed with PBE.

```
BeAsOs2
1.0
-1.461 2.315 3.971
1.461 -2.315 3.971
1.461 2.315 -3.971
Be As Os
1 1 2
Cartesian
0.000 0.000 0.000
0.000 0.000 3.971
1.461 0.000 1.735
0.000 2.315 2.236
```

Symmetry: Immm (71)
Distance to the lowest polymorph of the same formula in meV/atom: 245
M_tot in μB/f.u.: 0.00
DFT formation energy in eV/atom: 0.369

No. 3
Ba4TeAu after structural relaxation, computed with PBE.

```
Ba4TeAu
1.0
0.000 5.078 5.078
5.078 0.000 5.078
5.078 5.078 0.000
Ba Te Au
4 1 1
Cartesian
1.261 1.261 1.261
3.817 3.817 1.261
3.817 1.261 3.817
1.261 3.817 3.817
7.617 7.617 7.617
5.078 5.078 5.078
```

Symmetry: F-43m (216)
M_tot in μB/f.u.: 0.00
Formation energy without anion corrections in kcal/mol of atoms: 0.81

No. 4
LiNd2Dy3Te6 after structural relaxation, computed with PBE.

```
LiNd2Dy3Te6
1.0
9.605 -2.191 0.000
9.605 2.191 0.000
-2.055 0.000 8.574
Li Nd Dy Te
1 2 3 6
Cartesian
0.000 0.000 0.000
4.979 0.000 5.642
12.176 0.000 2.932
-1.027 0.000 4.287
5.995 0.000 1.441
11.160 0.000 7.133
2.967 0.000 0.634
1.897 0.000 5.067
9.061 0.000 2.088
8.095 0.000 6.486
15.258 0.000 3.507
14.189 0.000 7.941
```

Symmetry: C2/m (12)
M_tot in μB/f.u.: 0.00
Formation energy without anion corrections in kcal/mol of atoms: -31.07

No. 5
CaTmGaGe after structural relaxation, computed with PBE.

```
CaTmGaGe
1.0
0.000 3.583 3.583
3.583 0.000 3.583
3.583 3.583 0.000
Ca Tm Ga Ge
1 1 1 1
Cartesian
0.000 0.000 0.000
3.583 3.583 3.583
1.792 1.792 1.792
5.375 5.375 5.375
```

Symmetry: F-43m (216)
Distance to the lowest polymorph of the same formula in meV/atom: 146
M_tot in μB/f.u.: 0.00
DFT formation energy in eV/atom: -0.495

No. 6
DySc5Te4 after structural relaxation, computed with PBE.

```
DySc5Te4
1.0
8.644 0.000 0.000
0.000 9.390 0.000
0.000 0.000 7.067
Dy Sc Te
2 10 8
Cartesian
2.161 2.347 1.051
6.483 7.042 6.016
0.548 0.465 5.409
0.548 4.229 5.409
2.161 7.042 5.638
3.774 0.465 5.409
3.774 4.229 5.409
4.871 5.160 1.658
4.871 8.924 1.658
6.483 2.347 1.429
8.096 5.160 1.658
8.096 8.924 1.658
0.025 2.347 3.219
2.161 5.208 0.652
2.161 8.876 0.652
4.297 2.347 3.219
4.347 7.042 3.848
6.483 0.513 6.415
6.483 4.182 6.415
8.619 7.042 3.848
```

Symmetry: Pmmn (59)
M_tot in μB/f.u.: 0.00
Formation energy without anion corrections in kcal/mol of atoms: -16.00